# GdDyZnCo2

Crystalline GdDyZnCo2 at its relaxed geometry (PBE, OQMD via LeMat-Bulk).

Properties
Its volume is 91.5 Å³ per cell. For the formation energy, the calculation gives -0.283 eV/atom.

Structure (POSCAR):
```
GdDyZnCo2
1.0
-2.042 2.735 4.093
2.042 -2.735 4.093
2.042 2.735 -4.093
Gd Dy Zn Co
1 1 1 2
Direct
0.000 0.000 0.000
0.417 0.417 0.000
0.708 0.208 0.500
0.420 0.710 0.711
0.999 0.710 0.289
```